A relaxed Ba2MnRe crystal, computed with PBE.

a b c (Å): 6.859 6.859 6.859
angles (deg): 147.99 133.65 57.44
Last column: magnetic moment on the atom in μB.
Positions (direct):
1 Ba 0.018 0.018 0.000  -0.01
2 Ba 0.734 0.234 0.500  -0.03
3 Mn 0.427 0.427 0.000  -2.17
4 Re 0.320 0.820 0.500  0.42

Output
Space group: Imm2, No. 44
ΔH_f (0 K) in eV per atom: 0.7266
Distance to the lowest polymorph of the same formula in eV per formula unit: 1.02